The following is a PBE+U calculation of a relaxed structure of CsVCdF6, from the Alexandria database.

Density of states at the Fermi level (states/eV per cell): 0.0
Magnetic moment (μB per cell): 4.00
E_tot (eV/atom): -4.967
SG: Imma

Geometry as extended XYZ:
```
18
Lattice="-7.743 0.367 0.892 -0.972 -2.892 -7.245 4.350 -3.764 5.184" Properties=species:S:1:pos:R:3 pbc="T T T"
F -4.115 -0.904 -1.220
F -0.249 -5.385 0.050
F -0.731 -3.707 -4.820
F -3.005 -2.666 -3.006
F 1.396 -3.754 1.519
F -3.633 -2.582 3.650
F -5.227 -0.948 1.288
F 0.863 -5.341 -2.457
F -2.472 -1.079 0.970
F -1.359 -3.623 1.837
F -5.761 -2.535 -2.689
F -1.893 -5.210 -2.140
Cd 2.175 -1.882 2.592
Cd -1.696 -1.698 3.038
Cs -0.245 -2.081 -1.269
Cs -4.119 -4.208 0.100
V -3.871 0.184 0.446
V -4.357 -1.263 -3.177
```